Entry 1:
A geometry-optimized AcYHgO4 structure. Source: Alexandria, functional PBE.

Properties
final energy	-6.761	eV/atom
symmetry	Imma
total moment	0.000	μB per cell

Unit cell a=7.1830 b=7.1830 c=7.1830 alpha=122.06 beta=117.09 gamma=90.79
Fractional positions:
Ac 0.0000 0.0000 0.0000
Ac 0.5000 0.0000 0.5000
Y 0.5000 0.0000 0.0000
Y 0.5000 0.5000 0.5000
Hg 0.1360 0.3860 0.7500
Hg 0.8640 0.6140 0.2500
O 0.2704 0.2553 0.4849
O 0.2704 0.7855 0.0151
O 0.2896 0.2443 0.0452
O 0.3009 0.7557 0.5452
O 0.6991 0.2443 0.4548
O 0.7104 0.7557 0.9548
O 0.7296 0.2145 0.9849
O 0.7296 0.7447 0.5151

---

Entry 2:
A geometry-optimized AcZnHgO structure. Source: Alexandria, functional PBE.

Properties
density of states at the Fermi level	0.220	states/eV/atom
final energy	-4.214	eV/atom
symmetry	P4/nmm
total moment	0.000	μB per cell

Unit cell a=4.3866 b=4.3866 c=9.4360 alpha=90.00 beta=90.00 gamma=90.00
Fractional positions:
Ac 0.2500 0.2500 0.1279
Ac 0.7500 0.7500 0.8721
Zn 0.2500 0.7500 0.5000
Zn 0.7500 0.2500 0.5000
Hg 0.2500 0.2500 0.6744
Hg 0.7500 0.7500 0.3256
O 0.2500 0.7500 0.0000
O 0.7500 0.2500 0.0000

---

Entry 3:
A geometry-optimized Ac8Hg2Os structure. Source: Alexandria, functional PBE.

Properties
density of states at the Fermi level	1.197	states/eV/atom
final energy	-4.208	eV/atom
symmetry	C2/m
E_form	-0.14	eV per atom
total moment	0.000	μB per cell

Unit cell a=10.8419 b=10.8419 c=8.2321 alpha=91.46 beta=91.46 gamma=26.23
Fractional positions:
Ac 0.0036 0.0036 0.2790
Ac 0.2252 0.2252 0.8145
Ac 0.3638 0.3638 0.4981
Ac 0.4032 0.4032 0.0071
Ac 0.5968 0.5968 0.9929
Ac 0.6362 0.6362 0.5019
Ac 0.7748 0.7748 0.1855
Ac 0.9964 0.9964 0.7210
Hg 0.1698 0.1698 0.2296
Hg 0.8302 0.8302 0.7704
Os 0.5000 0.5000 0.5000

---

Entry 4:
A geometry-optimized Ac5HgOs2 structure. Source: Alexandria, functional PBE.

Properties
density of states at the Fermi level	0.808	states/eV/atom
final energy	-5.584	eV/atom
symmetry	I4/mcm
E_form	-0.17	eV per atom
total moment	0.000	μB per cell

Unit cell a=9.4793 b=9.4793 c=9.4793 alpha=127.56 beta=127.56 gamma=77.34
Fractional positions:
Ac 0.0000 0.0000 0.0000
Ac 0.0307 0.5307 0.8199
Ac 0.2109 0.0307 0.5000
Ac 0.2891 0.7891 0.8199
Ac 0.4693 0.2891 0.5000
Ac 0.5000 0.5000 0.0000
Ac 0.5307 0.7109 0.5000
Ac 0.7109 0.2109 0.1801
Ac 0.7891 0.9693 0.5000
Ac 0.9693 0.4693 0.1801
Hg 0.2500 0.2500 0.0000
Hg 0.7500 0.7500 0.0000
Os 0.1394 0.3606 0.5000
Os 0.3606 0.8606 0.2213
Os 0.6394 0.1394 0.7787
Os 0.8606 0.6394 0.5000

---

Entry 5:
A geometry-optimized Ac6HgOs2 structure. Source: Alexandria, functional PBE.

Properties
density of states at the Fermi level	0.929	states/eV/atom
final energy	-5.373	eV/atom
symmetry	P-31m
E_form	-0.11	eV per atom
total moment	0.000	μB per cell

Unit cell a=7.6325 b=7.6325 c=7.3026 alpha=90.00 beta=90.00 gamma=120.00
Fractional positions:
Ac 0.0000 0.3554 0.2227
Ac 0.0000 0.6446 0.7773
Ac 0.3554 0.0000 0.2227
Ac 0.3554 0.3554 0.7773
Ac 0.6446 0.0000 0.7773
Ac 0.6446 0.6446 0.2227
Hg 0.0000 0.0000 0.5000
Os 0.3333 0.6667 0.0000
Os 0.6667 0.3333 0.0000

---

Entry 6:
A geometry-optimized Ac6Hg3Os structure. Source: Alexandria, functional PBE.

Properties
density of states at the Fermi level	1.029	states/eV/atom
final energy	-3.946	eV/atom
symmetry	P2_1/c
E_form	-0.27	eV per atom
total moment	0.000	μB per cell

Unit cell a=8.2459 b=8.3508 c=12.9167 alpha=90.00 beta=120.84 gamma=90.00
Fractional positions:
Ac 0.0681 0.0548 0.2429
Ac 0.0681 0.4452 0.7429
Ac 0.2214 0.6960 0.0798
Ac 0.2214 0.8040 0.5798
Ac 0.3455 0.1737 0.0640
Ac 0.3455 0.3263 0.5640
Ac 0.6545 0.6737 0.4360
Ac 0.6545 0.8263 0.9360
Ac 0.7786 0.1960 0.4202
Ac 0.7786 0.3040 0.9202
Ac 0.9319 0.5548 0.2571
Ac 0.9319 0.9452 0.7571
Hg 0.3336 0.1132 0.7860
Hg 0.3336 0.3868 0.2860
Hg 0.5000 0.0000 0.5000
Hg 0.5000 0.5000 0.0000
Hg 0.6664 0.6132 0.7140
Hg 0.6664 0.8868 0.2140
Os 0.0000 0.0000 0.0000
Os 0.0000 0.5000 0.5000

---

Entry 7:
A geometry-optimized Ac4HgOs structure. Source: Alexandria, functional PBE.

Properties
density of states at the Fermi level	1.153	states/eV/atom
final energy	-4.843	eV/atom
symmetry	C2/c
E_form	-0.18	eV per atom
total moment	0.000	μB per cell

Unit cell a=8.4096 b=8.4096 c=6.7465 alpha=99.04 beta=99.04 gamma=112.33
Fractional positions:
Ac 0.0588 0.7231 0.9571
Ac 0.2044 0.3613 0.5949
Ac 0.2769 0.9412 0.5429
Ac 0.3613 0.2044 0.0949
Ac 0.6387 0.7956 0.9051
Ac 0.7231 0.0588 0.4571
Ac 0.7956 0.6387 0.4051
Ac 0.9412 0.2769 0.0429
Hg 0.3771 0.6229 0.2500
Hg 0.6229 0.3771 0.7500
Os 0.0004 0.9996 0.2500
Os 0.9996 0.0004 0.7500

---

Entry 8:
A geometry-optimized Ac3HgOs structure. Source: Alexandria, functional PBE.

Properties
energy relative to the lowest polymorph listed for this composition	0.1620	eV per atom
density of states at the Fermi level	0.768	states/eV/atom
final energy	-4.839	eV/atom
symmetry	Pm-3m
E_form	-0.07	eV per atom
total moment	0.000	μB per cell

Unit cell a=5.7936 b=5.7936 c=5.7936 alpha=90.00 beta=90.00 gamma=90.00
Fractional positions:
Ac 0.0000 0.0000 0.5000
Ac 0.0000 0.5000 0.0000
Ac 0.5000 0.0000 0.0000
Hg 0.5000 0.5000 0.5000
Os 0.0000 0.0000 0.0000

---

Question: Look up the final energy of the seventh one.
Answer: -4.843 eV/atom

---

Copy entry 7 word for word.
A geometry-optimized Ac4HgOs structure. Source: Alexandria, functional PBE.

Properties
density of states at the Fermi level	1.153	states/eV/atom
final energy	-4.843	eV/atom
symmetry	C2/c
E_form	-0.18	eV per atom
total moment	0.000	μB per cell

Unit cell a=8.4096 b=8.4096 c=6.7465 alpha=99.04 beta=99.04 gamma=112.33
Fractional positions:
Ac 0.0588 0.7231 0.9571
Ac 0.2044 0.3613 0.5949
Ac 0.2769 0.9412 0.5429
Ac 0.3613 0.2044 0.0949
Ac 0.6387 0.7956 0.9051
Ac 0.7231 0.0588 0.4571
Ac 0.7956 0.6387 0.4051
Ac 0.9412 0.2769 0.0429
Hg 0.3771 0.6229 0.2500
Hg 0.6229 0.3771 0.7500
Os 0.0004 0.9996 0.2500
Os 0.9996 0.0004 0.7500